Entry 1:
# BaLiCd (meta-GGA SCAN, single point on PBEsol structure)
# Energy relative to the elements   -0.21 eV/atom
# ΔE to the lowest computed polymorph   0.0144 eV/atom
# E_tot   -146.0 eV per cell
data_BaLiCd
_chemical_formula_sum 'Ba2 Li2 Cd2'
_cell_length_a 3.9513
_cell_length_b 3.9513
_cell_length_c 11.6147
_cell_angle_alpha 90.00
_cell_angle_beta 90.00
_cell_angle_gamma 90.00
_space_group_name_H-M_alt 'I 4 m m'
_space_group_IT_number 107
_space_group_name_Hall 'I 4 -2'
loop_
_atom_site_label
_atom_site_fract_x
_atom_site_fract_y
_atom_site_fract_z
Ba1 0.0000 0.0000 0.0000
Li1 0.0000 0.0000 0.2860
Cd1 0.0000 0.0000 0.6911

Entry 2:
# LuH3 (meta-GGA SCAN, single point on PBEsol structure)
# E_tot   -411.3 eV per cell
data_LuH3
_chemical_formula_sum 'Lu6 H18'
_cell_length_a 6.0166
_cell_length_b 6.0166
_cell_length_c 6.2543
_cell_angle_alpha 90.00
_cell_angle_beta 90.00
_cell_angle_gamma 120.00
_space_group_name_H-M_alt 'P -3 c 1'
_space_group_IT_number 165
_space_group_name_Hall '-P 3 2"c'
loop_
_atom_site_label
_atom_site_fract_x
_atom_site_fract_y
_atom_site_fract_z
Lu1 0.0000 0.3365 0.2500
H1 0.0000 0.0000 0.2500
H2 0.0269 0.3492 0.9074
H3 0.3333 0.6667 0.1801

Entry 3:
# MgW2Br (meta-GGA SCAN, single point on PBEsol structure)
# ΔE to the lowest computed polymorph   0.0000 eV/atom
# E_tot   -160.6 eV per cell
# Formation energy from raw total energies   0.81 eV per atom
data_MgW2Br
_chemical_formula_sum 'Mg1 W2 Br1'
_cell_length_a 3.2384
_cell_length_b 5.1362
_cell_length_c 4.5440
_cell_angle_alpha 90.00
_cell_angle_beta 93.04
_cell_angle_gamma 90.00
_space_group_name_H-M_alt 'P 1 2/m 1'
_space_group_IT_number 10
loop_
_space_group_symop_operation_xyz
'x,y,z'
'-x,-y,-z'
'-x,y,-z'
'x,-y,z'
loop_
_atom_site_label
_atom_site_fract_x
_atom_site_fract_y
_atom_site_fract_z
Mg1 0.0000 0.0000 0.0000
W1 0.2776 0.5000 0.2010
Br1 0.5000 0.0000 0.5000

> What is the E_tot in the third record?

-160.6 eV per cell